The following is a GGA-PBE calculation of an optimized crystal structure of HoNb2ReC4, from Alexandria.

The structure in CIF format:
```
data_HoNb2ReC4
_cell_length_a 5.913
_cell_length_b 5.913
_cell_length_c 11.243
_cell_angle_alpha 90.00
_cell_angle_beta 90.00
_cell_angle_gamma 148.21
_space_group_name_H-M_alt 'P 1'
_space_group_IT_number 1
_space_group_name_Hall 'P 1'
loop_
_atom_site_label
_atom_site_fract_x
_atom_site_fract_y
_atom_site_fract_z
Ho1 0.111 0.889 0.750
Ho2 0.889 0.111 0.250
Nb1 0.370 0.630 0.534
Nb2 0.370 0.630 0.966
Nb3 0.630 0.370 0.034
Nb4 0.630 0.370 0.466
Re1 0.153 0.847 0.250
Re2 0.847 0.153 0.750
C1 0.000 0.000 0.000
C2 0.000 0.000 0.500
C3 0.263 0.737 0.116
C4 0.263 0.737 0.384
C5 0.449 0.551 0.750
C6 0.551 0.449 0.250
C7 0.737 0.263 0.616
C8 0.737 0.263 0.884
```

The total energy comes out at -0.6957 Ry/atom. For the formation energy, the calculation gives -208 meV/atom. Its symmetry is Cmcm, No. 63. Its total magnetization is 0.000 μB/cell.